The following is a PBE calculation of crystalline CaZr4Se8 at its relaxed geometry, from the Alexandria database.

The structure in POSCAR format:
```
CaZr4Se8
1.0
6.8852 0.0000 3.1399
2.7266 6.3223 3.1399
0.3753 0.2468 8.2960
Ca Zr Se
1 4 8
Direct
0.5000 0.5000 0.5000
0.0000 0.5000 0.0000
0.5000 0.5000 0.0000
0.5000 0.0000 0.0000
0.0000 0.0000 0.0000
0.7492 0.2417 0.7675
0.7583 0.2508 0.2325
0.2508 0.7583 0.2325
0.7583 0.7583 0.2325
0.7422 0.7422 0.7733
0.2578 0.2578 0.2267
0.2417 0.2417 0.7675
0.2417 0.7492 0.7675
```

Summary:
* uncorrected energy: -83.093 eV for the cell shown
* density of states at the Fermi level: 5.09 states/eV/f.u.
* formation energy (no corrections): -1463.3 meV/atom